## a
An optimized crystal structure of Pr2HoHg4, computed with PBE.

POSCAR file:
```
Pr2HoHg4
1.0
-2.812 2.812 7.877
2.812 -2.812 7.877
2.812 2.812 -7.877
Pr Ho Hg
2 1 4
Direct
0.109 0.109 0.000
0.891 0.891 0.000
0.500 0.500 0.000
0.000 0.500 0.500
0.310 0.310 0.000
0.500 0.000 0.500
0.690 0.690 0.000
```



## b
An optimized crystal structure of Pr2HoHg4, computed with PBE.

POSCAR file:
```
Pr2HoHg4
1.0
2.584 1.492 9.083
-2.584 1.492 9.083
0.000 -2.983 9.083
Pr Ho Hg
2 1 4
Direct
0.244 0.244 0.244
0.756 0.756 0.756
0.000 0.000 0.000
0.127 0.127 0.127
0.369 0.369 0.369
0.631 0.631 0.631
0.873 0.873 0.873
```



Which one sits at the top of the stability order? b does.



## a
An optimized crystal structure of PrHo2Hg6, computed with PBE.

POSCAR file:
```
PrHo2Hg6
1.0
-2.273 2.273 12.873
2.273 -2.273 12.873
2.273 2.273 -12.873
Pr Ho Hg
1 2 6
Direct
0.000 0.000 0.000
0.331 0.331 0.000
0.669 0.669 0.000
0.089 0.589 0.500
0.250 0.750 0.500
0.411 0.911 0.500
0.589 0.089 0.500
0.750 0.250 0.500
0.911 0.411 0.500
```



## b
An optimized crystal structure of PrHo2Hg6, computed with PBE.

POSCAR file:
```
PrHo2Hg6
1.0
8.647 0.000 0.000
-4.324 7.489 0.000
0.000 0.000 3.453
Pr Ho Hg
1 2 6
Direct
0.000 0.000 0.000
0.333 0.667 0.000
0.667 0.333 0.000
0.000 0.336 0.500
0.000 0.664 0.500
0.336 0.000 0.500
0.336 0.336 0.500
0.664 0.000 0.500
0.664 0.664 0.500
```



Which one sits at the top of the stability order? b does.



## a
An optimized crystal structure of PrSmHoHg, computed with PBE.

POSCAR file:
```
PrSmHoHg
1.0
0.000 3.900 3.900
3.900 0.000 3.900
3.900 3.900 0.000
Pr Sm Ho Hg
1 1 1 1
Direct
0.000 0.000 0.000
0.500 0.500 0.500
0.250 0.250 0.250
0.750 0.750 0.750
```



## b
An optimized crystal structure of PrSmHoHg, computed with PBE.

POSCAR file:
```
PrSmHoHg
1.0
3.694 0.000 0.000
0.000 3.694 0.000
0.000 0.000 8.899
Pr Sm Ho Hg
1 1 1 1
Direct
0.000 0.000 0.000
0.500 0.500 0.712
0.500 0.500 0.281
0.000 0.000 0.484
```



Which one sits at the top of the stability order? b does.